ScV3C: optimized geometry, PBE.

It has space group Pm-3m (No. 221), with a = 4.096 Å, b = 4.096 Å, c = 4.096 Å, α = 90.00°, β = 90.00° and γ = 90.00°. Symmetry generates all atoms from Sc at (0.000, 0.000, 0.000), V at (0.000, 0.500, 0.500) and C at (0.500, 0.500, 0.500).

As for the energy above the most stable polymorph in this dataset: 0.00 eV/f.u. The formation energy is -0.09 eV/atom. The value obtained for the total magnetization is 0.001 μB/atom. The value obtained for the volume is 68.7 Å³ per cell. As for the density of states at the Fermi level: 6.51 states/eV per cell.

Sc2VC: optimized geometry, PBE.

It has space group R-3m (No. 166, hexagonal axes), with a = 3.0710 Å, b = 3.0710 Å, c = 26.7660 Å, α = 90.00°, β = 90.00° and γ = 120.00°. Symmetry generates all atoms from Sc at (0.0000, 0.0000, 0.0807), V at (0.0000, 0.0000, 0.5000) and C at (0.0000, 0.0000, 0.0000).

The formation energy is 1.18 eV/atom. The value obtained for the total magnetization is 0.107 μB/atom. The value obtained for the volume is 218.6 Å³ per cell. As for the density of states at the Fermi level: 16.21 states/eV per cell.

Sc3VC4: optimized geometry, PBE.

It has space group Immm (No. 71), with a = 3.464 Å, b = 4.487 Å, c = 12.078 Å, α = 90.00°, β = 90.00° and γ = 90.00°. Symmetry generates all atoms from Sc at (0.000, 0.000, 0.000), Sc at (0.000, 0.500, 0.189), V at (0.000, 0.000, 0.500) and C at (0.000, 0.337, 0.376).

The formation energy is -0.44 eV/atom. The value obtained for the total magnetization is 0.000 μB/atom. The value obtained for the volume is 187.7 Å³ per cell. As for the density of states at the Fermi level: 8.13 states/eV per cell.

Sc3VC3: optimized geometry, PBE.

It has space group Cmcm (No. 63), with a = 8.538 Å, b = 9.638 Å, c = 4.700 Å, α = 90.00°, β = 90.00° and γ = 90.00°. Symmetry generates all atoms from Sc at (0.000, 0.112, 0.250), Sc at (0.230, 0.380, 0.250), V at (0.000, 0.321, 0.750), C at (0.000, 0.126, 0.750) and C at (0.218, 0.378, 0.750).

The formation energy is -0.44 eV/atom. The value obtained for the total magnetization is 0.000 μB/atom. The value obtained for the volume is 386.7 Å³ per cell. As for the density of states at the Fermi level: 10.95 states/eV per cell.

Sc2VC: optimized geometry, PBE.

It has space group R-3m (No. 166, hexagonal axes), with a = 3.1982 Å, b = 3.1982 Å, c = 24.4562 Å, α = 90.00°, β = 90.00° and γ = 120.00°. Symmetry generates all atoms from Sc at (0.0000, 0.0000, 0.1153), V at (0.0000, 0.0000, 0.0000) and C at (0.0000, 0.0000, 0.5000).

The formation energy is 0.14 eV/atom. The value obtained for the total magnetization is 0.619 μB/atom. The value obtained for the volume is 216.6 Å³ per cell. As for the density of states at the Fermi level: 8.59 states/eV per cell.

ScVC2: optimized geometry, PBE.

It has space group R-3m (No. 166, hexagonal axes), with a = 3.0732 Å, b = 3.0732 Å, c = 15.4625 Å, α = 90.00°, β = 90.00° and γ = 120.00°. Symmetry generates all atoms from Sc at (0.0000, 0.0000, 0.0000), V at (0.0000, 0.0000, 0.5000) and C at (0.0000, 0.0000, 0.2408).

The formation energy is -0.43 eV/atom. The value obtained for the total magnetization is 0.000 μB/atom. The value obtained for the volume is 126.5 Å³ per cell. As for the density of states at the Fermi level: 1.95 states/eV per cell.

ScVC2: optimized geometry, PBE.

It has space group Fm-3m (No. 225), with a = 5.497 Å, b = 5.497 Å, c = 5.497 Å, α = 90.00°, β = 90.00° and γ = 90.00°. Symmetry generates all atoms from Sc at (0.000, 0.000, 0.000), V at (0.000, 0.000, 0.500) and C at (0.250, 0.250, 0.250).

The formation energy is 0.57 eV/atom. The value obtained for the total magnetization is 0.369 μB/atom. The value obtained for the volume is 166.1 Å³ per cell. As for the density of states at the Fermi level: 14.71 states/eV per cell.

ScV3C: optimized geometry, PBE.

It has space group Pm-3m (No. 221), with a = 4.327 Å, b = 4.327 Å, c = 4.327 Å, α = 90.00°, β = 90.00° and γ = 90.00°. Symmetry generates all atoms from Sc at (0.000, 0.000, 0.000), V at (0.000, 0.000, 0.500) and C at (0.500, 0.500, 0.500).

As for the energy above the most stable polymorph in this dataset: 14.59 eV/f.u. The formation energy is 2.83 eV/atom. The value obtained for the total magnetization is 0.062 μB/atom. The value obtained for the volume is 81.0 Å³ per cell. As for the density of states at the Fermi level: 8.72 states/eV per cell.

ScVC2: optimized geometry, PBE.

It has space group I-42d (No. 122), with a = 5.429 Å, b = 5.429 Å, c = 6.673 Å, α = 90.00°, β = 90.00° and γ = 90.00°. Symmetry generates all atoms from Sc at (0.000, 0.000, 0.000), V at (0.000, 0.000, 0.500) and C at (0.202, 0.250, 0.625).

The formation energy is -0.02 eV/atom. The value obtained for the total magnetization is 0.000 μB/atom. The value obtained for the volume is 196.7 Å³ per cell. As for the density of states at the Fermi level: 2.56 states/eV per cell.

ScV2C: optimized geometry, PBE.

It has space group I-42d (No. 122), with a = 5.928 Å, b = 5.928 Å, c = 8.385 Å, α = 90.00°, β = 90.00° and γ = 90.00°. Symmetry generates all atoms from Sc at (0.000, 0.000, 0.000), V at (0.002, 0.250, 0.625) and C at (0.000, 0.000, 0.500).

The formation energy is 0.51 eV/atom. The value obtained for the total magnetization is 0.000 μB/atom. The value obtained for the volume is 294.7 Å³ per cell. As for the density of states at the Fermi level: 16.05 states/eV per cell.

Sc2VC: optimized geometry, PBE.

It has space group I-42d (No. 122), with a = 8.493 Å, b = 8.493 Å, c = 3.972 Å, α = 90.00°, β = 90.00° and γ = 90.00°. Symmetry generates all atoms from Sc at (0.097, 0.750, 0.125), V at (0.000, 0.000, 0.500) and C at (0.000, 0.000, 0.000).

The formation energy is 0.04 eV/atom. The value obtained for the total magnetization is 0.393 μB/atom. The value obtained for the volume is 286.5 Å³ per cell. As for the density of states at the Fermi level: 16.91 states/eV per cell.

YScV2C: optimized geometry, PBE.

It has space group P4/mmm (No. 123), with a = 4.165 Å, b = 4.165 Å, c = 4.707 Å, α = 90.00°, β = 90.00° and γ = 90.00°. Symmetry generates all atoms from Y at (0.000, 0.000, 0.000), Sc at (0.500, 0.500, 0.000), V at (0.000, 0.500, 0.500) and C at (0.500, 0.500, 0.500).

The formation energy is 0.09 eV/atom. The value obtained for the total magnetization is 0.000 μB/atom. The value obtained for the volume is 81.6 Å³ per cell. As for the density of states at the Fermi level: 5.46 states/eV per cell.